VASP calculation (GGA-PBE) on crystalline HfTiFe2 at its relaxed geometry. Values from VASP.

Properties
energy above the most stable polymorph in this dataset	0.00	eV/f.u.
theoretical density	9.922	g cm⁻³
crystal system	cubic
calculated formation energy	-338	meV per atom
symmetry	Fm-3m

The structure in Quantum ESPRESSO input format:
```
&SYSTEM
  ibrav = 0, nat = 4, ntyp = 3
/
ATOMIC_SPECIES
Hf 178.49 Hf.upf
Ti 47.87 Ti.upf
Fe 55.84 Fe.upf
ATOMIC_POSITIONS crystal
Hf 0.0000 0.0000 0.0000
Ti 0.5000 0.5000 0.5000
Fe 0.2500 0.2500 0.2500
Fe 0.7500 0.7500 0.7500
CELL_PARAMETERS angstrom
0.0000 3.0469 3.0469
3.0469 0.0000 3.0469
3.0469 3.0469 0.0000
```